A plane-wave DFT calculation with PBE with a Hubbard U was carried out for a relaxed structure of MnFe2O4.

Results
**Electronic total energy**: -0.52288 Ry/atom
**M_tot**: 10.00 Bohr magnetons per cell
**Space-group type**: Fd-3m
**Offset from the most stable computed form**: 0 meV per atom
**Calculated volume**: 160.6 Å³/cell

Lattice parameters (Å, degrees): 6.102 6.102 6.102 60.00 60.00 60.00
Fractional positions:
Mn 0.125 0.125 0.125
Mn 0.875 0.875 0.875
Fe 0.000 0.500 0.500
Fe 0.500 0.000 0.500
Fe 0.500 0.500 0.000
Fe 0.500 0.500 0.500
O 0.262 0.262 0.262
O 0.262 0.262 0.714
O 0.262 0.714 0.262
O 0.286 0.738 0.738
O 0.714 0.262 0.262
O 0.738 0.286 0.738
O 0.738 0.738 0.286
O 0.738 0.738 0.738